Entry 1:
A relaxed structure of Al2Cu5Ni, computed with PBE-GGA.

```
Al2Cu5Ni
1.0
-1.319 4.068 4.694
1.319 -4.068 4.694
1.319 4.068 -4.694
Al Cu Ni
2 5 1
Direct
0.230 0.230 0.000
0.770 0.770 0.000
0.144 0.870 0.274
0.405 0.130 0.274
0.500 0.500 0.000
0.595 0.870 0.726
0.856 0.130 0.726
0.000 0.500 0.500
```

- Polymorph energy (0 for the lowest one): 119.3 meV per atom
- Total moment: 0.000 μB per atom
- SG: Immm (71)
- Total energy: -34.69 eV/cell



Entry 2:
A relaxed structure of YVFeRh2, computed with PBE-GGA.

```
YVFeRh2
1.0
4.471 0.000 0.000
0.000 4.471 0.000
0.000 0.000 5.009
Y V Fe Rh
1 1 1 2
Direct
0.000 0.000 0.000
0.000 0.000 0.500
0.500 0.500 0.000
0.000 0.500 0.500
0.500 0.000 0.500
```

- Total moment: 0.614 μB per atom
- SG: P4/mmm (123)
- Total energy: -34.89 eV/cell



Entry 3:
A relaxed structure of Ce3SmY2S6, computed with PBE-GGA.

```
Ce3SmY2S6
1.0
3.442 -5.967 0.000
3.442 5.967 0.000
-2.301 0.000 6.554
Ce Sm Y S
3 1 2 6
Direct
0.000 0.000 0.000
0.335 0.665 0.000
0.665 0.335 0.000
0.500 0.500 0.500
0.167 0.833 0.500
0.833 0.167 0.500
0.081 0.419 0.258
0.242 0.242 0.741
0.419 0.081 0.258
0.581 0.919 0.742
0.758 0.758 0.259
0.919 0.581 0.742
```

- Total moment: 0.211 μB per atom
- Raw formation energy: -2.034 eV per atom
- SG: C2/m (12)
- Total energy: -84.62 eV/cell



Entry 4:
A relaxed structure of Hf3AlCl, computed with PBE-GGA.

```
Hf3AlCl
1.0
4.705 0.000 0.000
0.000 4.705 0.000
0.000 0.000 4.705
Hf Al Cl
3 1 1
Direct
0.000 0.000 0.500
0.000 0.500 0.000
0.500 0.000 0.000
0.500 0.500 0.500
0.000 0.000 0.000
```

- Polymorph energy (0 for the lowest one): 0.0 meV per atom
- Total moment: 0.000 μB per atom
- Raw formation energy: 0.166 eV per atom
- SG: Pm-3m (221)
- Total energy: -34.62 eV/cell



Entry 5:
A relaxed structure of CaTaPt, computed with PBE-GGA.

```
CaTaPt
1.0
3.169 0.000 0.000
-1.584 2.744 0.000
0.000 0.000 7.218
Ca Ta Pt
1 1 1
Direct
0.000 0.000 0.000
0.333 0.667 0.615
0.667 0.333 0.342
```

- Polymorph energy (0 for the lowest one): 319.9 meV per atom
- Total moment: 0.001 μB per atom
- SG: P3m1 (156)
- Total energy: -19.55 eV/cell



Entry 6:
A relaxed structure of Y2PuPb, computed with PBE-GGA.

```
Y2PuPb
1.0
4.960 0.000 0.000
0.000 4.960 0.000
0.000 0.000 4.644
Y Pu Pb
2 1 1
Direct
0.000 0.500 0.000
0.500 0.000 0.000
0.000 0.000 0.500
0.500 0.500 0.500
```

- Polymorph energy (0 for the lowest one): 0.0 meV per atom
- Total moment: 1.814 μB per atom
- SG: P4/mmm (123)
- Total energy: -31.73 eV/cell